No. 1
An optimized crystal structure of La2AuO4, computed with PBE.

Unit cell a=6.9066 b=6.9066 c=6.9066 alpha=144.55 beta=144.55 gamma=51.00
Closest atoms and distances in Å follow each position.
Fractional coordinates of all 7 atoms:
La (0.1534, 0.1534, 0.0000)  4 O 2.42
La (0.8466, 0.8466, 0.0000)  4 O 2.42
Au (0.5000, 0.5000, 0.0000)  4 O 2.10
O (0.0000, 0.5000, 0.5000)  2 Au 2.10
O (0.2500, 0.7500, 0.5000)  4 La 2.42
O (0.5000, 0.0000, 0.5000)  2 Au 2.10
O (0.7500, 0.2500, 0.5000)  4 La 2.42

## Properties
Volume (Å³/f.u.): 110.2
D(E_F) (states/eV per atom): 0.098
Distance to the lowest polymorph of the same formula (meV per atom): 30
E_tot (eV/atom): -7.173

***

No. 2
An optimized crystal structure of LaAu3O, computed with PBE.

Unit cell a=5.7519 b=5.7519 c=5.7519 alpha=90.00 beta=90.00 gamma=90.00
Closest atoms and distances in Å follow each position.
Fractional coordinates of all 5 atoms:
La (0.0000, 0.0000, 0.0000)  6 Au 2.88
Au (0.0000, 0.0000, 0.5000)  2 La 2.88
Au (0.0000, 0.5000, 0.0000)  2 La 2.88
Au (0.5000, 0.0000, 0.0000)  2 La 2.88
O (0.5000, 0.5000, 0.5000)  12 Au 4.07

## Properties
Volume (Å³/f.u.): 190.3
D(E_F) (states/eV per atom): 6.089
Distance to the lowest polymorph of the same formula (meV per atom): 1121
E_tot (eV/atom): -2.916

***

No. 3
An optimized crystal structure of LaAuO2, computed with PBE.

Unit cell a=7.2187 b=7.2187 c=7.2187 alpha=140.45 beta=140.45 gamma=57.17
Closest atoms and distances in Å follow each position.
Fractional coordinates of all 8 atoms:
La (0.0000, 0.0000, 0.0000)  4 O 2.32
La (0.7500, 0.2500, 0.5000)  4 O 2.32
Au (0.2500, 0.7500, 0.5000)  4 O 2.37
Au (0.5000, 0.5000, 0.0000)  4 O 2.37
O (0.1164, 0.6250, 0.9914)  2 La 2.32, 2 Au 2.37
O (0.3750, 0.3664, 0.4914)  2 La 2.32, 2 Au 2.37
O (0.6336, 0.1250, 0.0086)  2 La 2.32, 2 Au 2.37
O (0.8750, 0.8836, 0.5086)  2 La 2.32, 2 Au 2.37

## Properties
Volume (Å³/f.u.): 75.6
D(E_F) (states/eV per atom): 0.000
Distance to the lowest polymorph of the same formula (meV per atom): 486
E_tot (eV/atom): -6.256

***

No. 4
An optimized crystal structure of LaAu3O, computed with PBE.

Unit cell a=4.6955 b=4.6955 c=4.6955 alpha=90.00 beta=90.00 gamma=90.00
Closest atoms and distances in Å follow each position.
Fractional coordinates of all 5 atoms:
La (0.0000, 0.0000, 0.0000)  12 Au 3.32
Au (0.0000, 0.5000, 0.5000)  2 O 2.35
Au (0.5000, 0.0000, 0.5000)  2 O 2.35
Au (0.5000, 0.5000, 0.0000)  2 O 2.35
O (0.5000, 0.5000, 0.5000)  6 Au 2.35

## Properties
Volume (Å³/f.u.): 103.5
D(E_F) (states/eV per atom): 0.334
Distance to the lowest polymorph of the same formula (meV per atom): 0
E_tot (eV/atom): -4.037

***

For reference, energy relative to the elements, uncorrected by record: -2464; 1027; -1726; -94 meV/atom.